Version 1
A plane-wave DFT calculation with PBE-GGA was carried out for a relaxed AcSm2Mn crystal.

Structure (POSCAR):
```
AcSm2Mn
1.0
-0.7479 1.7465 -3.1590
-1.0898 -3.1848 -1.5028
-8.6280 1.5771 2.9148
Sm Ac Mn
2 1 1
direct
0.0000 0.0000 0.8134
0.0000 0.0000 0.1866
0.5000 0.5000 0.5000
0.5000 0.5000 0.0000
```

## Properties
The value obtained for the size of the total moment is 0.785 μB per atom. The calculation puts the density of states at the Fermi level at 5.85 states/eV/cell.

---

Version 2
A plane-wave DFT calculation with PBE-GGA was carried out for a relaxed AcSm2Mn crystal.

Structure (POSCAR):
```
AcSm2Mn
1.0
3.5895 0.0000 0.0000
1.7948 3.1086 0.0000
1.7948 1.0362 11.8472
Sm Mn Ac
2 1 1
direct
0.9201 0.9201 0.2397
0.0799 0.0799 0.7603
0.0000 0.0000 0.0000
0.5000 0.5000 0.5000
```

## Properties
The value obtained for the size of the total moment is 0.795 μB per atom. The calculation puts the density of states at the Fermi level at 4.88 states/eV/cell.

---

Short version: version 1, version 2, most stable first.

---

Version 1
A plane-wave DFT calculation with PBE-GGA was carried out for a relaxed Ac2Mo2N5 crystal.

Structure (POSCAR):
```
Ac2Mo2N5
1.0
-1.8026 3.4736 1.1607
-0.8060 -1.6383 3.6509
6.8669 2.6584 2.7090
Ac N Mo
2 5 2
direct
0.0000 0.0000 0.5000
0.0000 0.0000 0.0000
0.5000 0.0000 0.2316
0.5000 0.5000 0.5000
0.0000 0.5000 0.2316
0.5000 0.0000 0.7684
0.0000 0.5000 0.7684
0.5000 0.5000 0.2546
0.5000 0.5000 0.7454
```

## Properties
The value obtained for the size of the total moment is 0.000 μB per atom. The calculation puts the density of states at the Fermi level at 1.52 states/eV/cell.

---

Version 2
A plane-wave DFT calculation with PBE-GGA was carried out for a relaxed Ac2Mo2N5 crystal.

Structure (POSCAR):
```
Ac2Mo2N5
1.0
4.2332 0.0000 0.0000
-2.1166 5.6509 -0.5975
0.0000 -1.4974 5.9000
Ac Mo N
2 2 5
direct
0.4024 0.8048 0.6828
0.5976 0.1952 0.3172
0.8370 0.6739 0.1025
0.1630 0.3261 0.8975
0.3484 0.6969 0.0855
0.6516 0.3031 0.9145
0.0000 0.0000 0.0000
0.1609 0.3219 0.5900
0.8391 0.6781 0.4100
```

## Properties
The value obtained for the size of the total moment is 0.000 μB per atom. The calculation puts the density of states at the Fermi level at 3.15 states/eV/cell.

---

Short version: version 1, version 2, most stable first.